(1)
Entry from Alexandria: LaPr5Sn6 after structural relaxation (PBE-GGA).

Output
V: 29.3 Å³ per atom
raw total energy: -5.088 eV per atom

Cell: 9.225 9.225 9.225 Å, 148.26 120.30 69.21°
Atoms (fractional coordinates):
La (0.000, 0.000, 0.000)
Pr (0.167, 0.667, 0.500)
Pr (0.334, 0.334, 0.000)
Pr (0.500, 0.000, 0.500)
Pr (0.666, 0.666, 0.000)
Pr (0.833, 0.333, 0.500)
Sn (0.083, 0.832, 0.250)
Sn (0.251, 0.500, 0.751)
Sn (0.418, 0.168, 0.250)
Sn (0.582, 0.832, 0.750)
Sn (0.749, 0.500, 0.249)
Sn (0.917, 0.168, 0.750)


(2)
Entry from Alexandria: LaGeAu after structural relaxation (PBE-GGA).

Output
V: 25.3 Å³ per atom
raw total energy: -4.465 eV per atom

Cell: 4.652 4.652 7.027 Å, 90.00 90.00 90.00°
Atoms (fractional coordinates):
La (0.250, 0.750, 0.000)
La (0.750, 0.250, 0.000)
Ge (0.250, 0.250, 0.332)
Ge (0.750, 0.750, 0.668)
Au (0.250, 0.250, 0.694)
Au (0.750, 0.750, 0.306)


(3)
Entry from Alexandria: Mn3SiRh after structural relaxation (PBE-GGA).

Output
V: 21.4 Å³ per atom
ΔE_f (raw): 1054 meV per atom
raw total energy: -7.003 eV per atom

Cell: 4.751 4.751 4.751 Å, 90.00 90.00 90.00°
Atoms (fractional coordinates):
Mn (0.000, 0.000, 0.500)
Mn (0.000, 0.500, 0.000)
Mn (0.500, 0.000, 0.000)
Si (0.500, 0.500, 0.500)
Rh (0.000, 0.000, 0.000)


(4)
Entry from Alexandria: BeNi8Ge2 after structural relaxation (PBE-GGA).

Output
V: 11.2 Å³ per atom
raw total energy: -5.574 eV per atom

Cell: 6.640 6.640 5.431 Å, 105.64 105.64 32.46°
Atoms (fractional coordinates):
Be (0.000, 0.000, 0.000)
Ni (0.090, 0.090, 0.449)
Ni (0.166, 0.166, 0.926)
Ni (0.344, 0.344, 0.783)
Ni (0.469, 0.469, 0.244)
Ni (0.531, 0.531, 0.756)
Ni (0.656, 0.656, 0.217)
Ni (0.834, 0.834, 0.074)
Ni (0.910, 0.910, 0.551)
Ge (0.294, 0.294, 0.328)
Ge (0.706, 0.706, 0.672)


(5)
Entry from Alexandria: Gd2CdFe after structural relaxation (PBE-GGA).

Output
energy above the most stable polymorph in this dataset: 0 meV per atom
V: 23.4 Å³ per atom
raw total energy: -9.500 eV per atom

Cell: 3.472 3.472 7.774 Å, 90.00 90.00 90.00°
Atoms (fractional coordinates):
Gd (0.000, 0.000, 0.212)
Gd (0.000, 0.000, 0.788)
Cd (0.500, 0.500, 0.500)
Fe (0.500, 0.500, 0.000)


(6)
Entry from Alexandria: La2SmY3Tm6 after structural relaxation (PBE-GGA).

Output
V: 31.9 Å³ per atom
raw total energy: -5.038 eV per atom

Cell: 6.184 6.184 11.750 Å, 95.03 95.03 119.97°
Atoms (fractional coordinates):
La (0.167, 0.833, 0.000)
La (0.833, 0.167, 0.000)
Sm (0.500, 0.500, 0.000)
Y (0.000, 0.000, 0.500)
Y (0.333, 0.667, 0.500)
Y (0.667, 0.333, 0.500)
Tm (0.082, 0.415, 0.746)
Tm (0.253, 0.253, 0.254)
Tm (0.415, 0.082, 0.746)
Tm (0.585, 0.918, 0.254)
Tm (0.747, 0.747, 0.746)
Tm (0.918, 0.585, 0.254)


Number 6 is which compound? La2SmY3Tm6


Among the records above, which one has the lowest V? BeNi8Ge2